# YMgB4 | Alexandria via LeMat-Bulk | PBE | optimized geometry
# - volume (Å³ per cell) = 259.7
# - VASP energy (eV/cell) = -148.71
# - DFT formation energy (kJ/mol of atoms) = -39
# - total magnetization (Bohr magnetons per cell) = 0.000
data_YMgB4
_space_group_name_H-M_alt 'P b a m'
_space_group_IT_number 55
_cell_length_a 6.0559
_cell_length_b 11.7149
_cell_length_c 3.6613
_cell_angle_alpha 90.00
_cell_angle_beta 90.00
_cell_angle_gamma 90.00
loop_
_space_group_symop_operation_xyz
'x,y,z'
'-x,-y,-z'
'-x,-y,z'
'x,y,-z'
'x+1/2,-y+1/2,-z'
'-x+1/2,y+1/2,z'
'-x+1/2,y+1/2,-z'
'x+1/2,-y+1/2,z'
loop_
_atom_site_label
_atom_site_type_symbol
_atom_site_fract_x
_atom_site_fract_y
_atom_site_fract_z
_atom_site_occupancy
Y1 Y 0.1270 0.1505 0.0000 1
Mg1 Mg 0.1369 0.4103 0.0000 1
B1 B 0.0291 0.6937 0.5000 1
B2 B 0.1144 0.5471 0.5000 1
B3 B 0.1319 0.9703 0.5000 1
B4 B 0.2072 0.8115 0.5000 1

# YTcOs2 | Alexandria via LeMat-Bulk | PBE | optimized geometry
# - volume (Å³ per cell) = 70.2
# - VASP energy (eV/cell) = -38.33
# - DFT formation energy (kJ/mol of atoms) = 23
# - total magnetization (Bohr magnetons per cell) = 0.000
data_YTcOs2
_space_group_name_H-M_alt 'P m m m'
_space_group_IT_number 47
_cell_length_a 2.8824
_cell_length_b 3.6634
_cell_length_c 6.6496
_cell_angle_alpha 90.00
_cell_angle_beta 90.00
_cell_angle_gamma 90.00
loop_
_space_group_symop_operation_xyz
'x,y,z'
'-x,-y,-z'
'-x,-y,z'
'x,y,-z'
'x,-y,-z'
'-x,y,z'
'-x,y,-z'
'x,-y,z'
loop_
_atom_site_label
_atom_site_type_symbol
_atom_site_fract_x
_atom_site_fract_y
_atom_site_fract_z
_atom_site_occupancy
Y1 Y 0.0000 0.0000 0.0000 1
Tc1 Tc 0.0000 0.0000 0.5000 1
Os1 Os 0.5000 0.5000 0.3027 1

# Ac2CeIn6 | Alexandria via LeMat-Bulk | PBE | optimized geometry
# - volume (Å³ per cell) = 266.1
# - VASP energy (eV/cell) = -34.20
# - DFT formation energy (kJ/mol of atoms) = -39
# - total magnetization (Bohr magnetons per cell) = 0.786
data_Ac2CeIn6
_space_group_name_H-M_alt 'P 6/m m m'
_space_group_IT_number 191
_space_group_name_Hall '-P 6 2'
_cell_length_a 8.9577
_cell_length_b 8.9577
_cell_length_c 3.8299
_cell_angle_alpha 90.00
_cell_angle_beta 90.00
_cell_angle_gamma 120.00
loop_
_atom_site_label
_atom_site_type_symbol
_atom_site_fract_x
_atom_site_fract_y
_atom_site_fract_z
_atom_site_occupancy
Ac1 Ac 0.3333 0.6667 0.0000 1
Ce1 Ce 0.0000 0.0000 0.0000 1
In1 In 0.0000 0.3283 0.5000 1

# NbTc2AsPb | Alexandria via LeMat-Bulk | PBE | optimized geometry
# - volume (Å³ per cell) = 133.3
# - VASP energy (eV/cell) = -27.65
# - DFT formation energy (kJ/mol of atoms) = 222
# - total magnetization (Bohr magnetons per cell) = 3.276
data_NbTc2AsPb
_space_group_name_H-M_alt 'P 4/m m m'
_space_group_IT_number 123
_space_group_name_Hall '-P 4 2'
_cell_length_a 5.0359
_cell_length_b 5.0359
_cell_length_c 5.2548
_cell_angle_alpha 90.00
_cell_angle_beta 90.00
_cell_angle_gamma 90.00
loop_
_atom_site_label
_atom_site_type_symbol
_atom_site_fract_x
_atom_site_fract_y
_atom_site_fract_z
_atom_site_occupancy
Nb1 Nb 0.0000 0.0000 0.0000 1
Tc1 Tc 0.0000 0.5000 0.5000 1
As1 As 0.5000 0.5000 0.0000 1
Pb1 Pb 0.0000 0.0000 0.5000 1

# HoAl2Hg | Alexandria via LeMat-Bulk | PBE | optimized geometry
# - volume (Å³ per cell) = 263.7
# - VASP energy (eV/cell) = -39.16
# - DFT formation energy (kJ/mol of atoms) = -17
# - total magnetization (Bohr magnetons per cell) = 0.000
data_HoAl2Hg
_space_group_name_H-M_alt 'R -3 m'
_space_group_IT_number 166
_space_group_name_Hall '-R 3 2"'
_cell_length_a 4.4307
_cell_length_b 4.4307
_cell_length_c 15.5090
_cell_angle_alpha 90.00
_cell_angle_beta 90.00
_cell_angle_gamma 120.00
loop_
_atom_site_label
_atom_site_type_symbol
_atom_site_fract_x
_atom_site_fract_y
_atom_site_fract_z
_atom_site_occupancy
Ho1 Ho 0.0000 0.0000 0.0000 1
Al1 Al 0.0000 0.0000 0.2212 1
Hg1 Hg 0.0000 0.0000 0.5000 1

# Mg2GaRe | Alexandria via LeMat-Bulk | PBE | optimized geometry
# - volume (Å³ per cell) = 215.9
# - VASP energy (eV/cell) = -50.10
# - DFT formation energy (kJ/mol of atoms) = 47
# - total magnetization (Bohr magnetons per cell) = 0.000
data_Mg2GaRe
_space_group_name_H-M_alt 'R -3 m'
_space_group_IT_number 166
_space_group_name_Hall '-R 3 2"'
_cell_length_a 2.8424
_cell_length_b 2.8424
_cell_length_c 30.8587
_cell_angle_alpha 90.00
_cell_angle_beta 90.00
_cell_angle_gamma 120.00
loop_
_atom_site_label
_atom_site_type_symbol
_atom_site_fract_x
_atom_site_fract_y
_atom_site_fract_z
_atom_site_occupancy
Mg1 Mg 0.0000 0.0000 0.0877 1
Ga1 Ga 0.0000 0.0000 0.5000 1
Re1 Re 0.0000 0.0000 0.0000 1

> Which of these has the lowest VASP energy?

YMgB4

> Look up the DFT formation energy of the second one.

23 kJ/mol of atoms